1.
LaCoAu2 (GGA-PBE, relaxed); total magnetization = 0.00 Bohr magnetons per cell; energy of formation = -0.23 eV per atom; SG = Amm2 (38); V = 20.59 Å³ per atom; uncorrected energy = -4.878 eV per atom
1.0
3.808 0.000 0.000
0.000 1.989 5.437
0.000 -1.989 5.437
La Co Au
1 1 2
Direct
0.000 0.000 0.000
0.500 0.560 0.560
0.000 0.720 0.720
0.500 0.317 0.317

=====

2.
La2CoAu (GGA-PBE, relaxed); total magnetization = 0.00 Bohr magnetons per cell; energy of formation = -0.37 eV per atom; SG = P4/mmm (123); V = 24.11 Å³ per atom; uncorrected energy = -5.430 eV per atom
1.0
3.598 0.000 0.000
0.000 3.598 0.000
0.000 0.000 7.452
La Co Au
2 1 1
Direct
0.000 0.000 0.225
0.000 0.000 0.775
0.500 0.500 0.000
0.500 0.500 0.500

=====

3.
La12Co6Au (GGA-PBE, relaxed); total magnetization = 0.00 Bohr magnetons per cell; energy of formation = -0.18 eV per atom; SG = Im-3 (204); V = 26.92 Å³ per atom; uncorrected energy = -5.713 eV per atom
1.0
-5.038 5.038 5.038
5.038 -5.038 5.038
5.038 5.038 -5.038
La Co Au
12 6 1
Direct
0.121 0.811 0.310
0.189 0.310 0.499
0.189 0.690 0.879
0.310 0.121 0.811
0.310 0.499 0.189
0.499 0.189 0.310
0.501 0.811 0.690
0.690 0.501 0.811
0.690 0.879 0.189
0.811 0.310 0.121
0.811 0.690 0.501
0.879 0.189 0.690
0.122 0.622 0.500
0.378 0.500 0.878
0.500 0.122 0.622
0.500 0.878 0.378
0.622 0.500 0.122
0.878 0.378 0.500
0.000 0.000 0.000

=====

4.
La5CoAu (GGA-PBE, relaxed); total magnetization = 0.00 Bohr magnetons per cell; energy of formation = -0.22 eV per atom; SG = C2/c (15); V = 30.07 Å³ per atom; uncorrected energy = -5.218 eV per atom
1.0
5.148 -3.621 0.000
5.148 3.621 0.000
-3.543 0.000 11.291
La Co Au
10 2 2
Direct
0.034 0.966 0.750
0.051 0.435 0.140
0.206 0.576 0.453
0.424 0.794 0.047
0.435 0.051 0.640
0.565 0.949 0.360
0.576 0.206 0.953
0.794 0.424 0.547
0.949 0.565 0.860
0.966 0.034 0.250
0.000 0.000 0.000
0.000 0.000 0.500
0.457 0.543 0.750
0.543 0.457 0.250